No. 1
TbPrNd3Tm | PBE-GGA | optimized geometry

abc: 6.5215 6.5215 11.8518
angles: 90.00 90.00 125.85
Atoms (fractional coordinates):
Tb 0.0213 0.9787 0.7500
Tb 0.9787 0.0213 0.2500
Pr 0.5000 0.5000 0.0000
Pr 0.5000 0.5000 0.5000
Nd 0.1737 0.8263 0.0235
Nd 0.1737 0.8263 0.4765
Nd 0.3284 0.6716 0.7500
Nd 0.6716 0.3284 0.2500
Nd 0.8263 0.1737 0.5235
Nd 0.8263 0.1737 0.9765
Tm 0.3519 0.6481 0.2500
Tm 0.6481 0.3519 0.7500

Properties
Density, Mg/m³: 7.33
E_form, eV per atom: 0.11
M_tot, μB per formula unit: 0.00
Total DFT energy (no corrections), hartree per atom: -0.1686

***

No. 2
ScPaSe3 | PBE-GGA | optimized geometry

abc: 6.9245 6.9245 6.7676
angles: 90.00 90.00 120.00
Atoms (fractional coordinates):
Sc 0.0000 0.0000 0.0000
Sc 0.0000 0.0000 0.5000
Pa 0.6667 0.3333 0.0000
Pa 0.6667 0.3333 0.5000
Se 0.3182 0.0129 0.2500
Se 0.3182 0.3054 0.7500
Se 0.6946 0.0129 0.7500
Se 0.6946 0.6818 0.2500
Se 0.9871 0.3054 0.2500
Se 0.9871 0.6818 0.7500

Properties
Density, Mg/m³: 6.06
M_tot, μB per formula unit: 0.92
Formation energy without anion corrections, meV/atom: -1448
Excess energy over the best structure of this formula in the dataset, meV per atom: 34.0
Total DFT energy (no corrections), hartree per atom: -0.2464

***

Repeat the second record exactly.
ScPaSe3 | PBE-GGA | optimized geometry

abc: 6.9245 6.9245 6.7676
angles: 90.00 90.00 120.00
Atoms (fractional coordinates):
Sc 0.0000 0.0000 0.0000
Sc 0.0000 0.0000 0.5000
Pa 0.6667 0.3333 0.0000
Pa 0.6667 0.3333 0.5000
Se 0.3182 0.0129 0.2500
Se 0.3182 0.3054 0.7500
Se 0.6946 0.0129 0.7500
Se 0.6946 0.6818 0.2500
Se 0.9871 0.3054 0.2500
Se 0.9871 0.6818 0.7500

Properties
Density, Mg/m³: 6.06
M_tot, μB per formula unit: 0.92
Formation energy without anion corrections, meV/atom: -1448
Excess energy over the best structure of this formula in the dataset, meV per atom: 34.0
Total DFT energy (no corrections), hartree per atom: -0.2464

***

> Number 1 is which compound?

TbPrNd3Tm

***

> Number 2 is which compound?

ScPaSe3

***

> Among the records above, which one has the lowest density?

ScPaSe3